A relaxed PmCuAs2 crystal. Source: Alexandria via LeMat-Bulk, functional PBE.

Calculated values
For the excess energy over the best structure of this formula in the dataset, the calculation gives 513.8 meV/atom. Its formation energy is -0.324 eV per atom.

```
PmCuAs2
1.0
0.0000 3.4452 3.4452
3.4452 0.0000 3.4452
3.4452 3.4452 0.0000
Pm Cu As
1 1 2
Cartesian
0.0000 0.0000 0.0000 Pm
3.4452 3.4452 3.4452 Cu
1.7226 1.7226 1.7226 As
5.1677 5.1677 5.1677 As
```

A relaxed PmCuAs2 crystal. Source: Alexandria via LeMat-Bulk, functional PBE.

Calculated values
For the excess energy over the best structure of this formula in the dataset, the calculation gives 0.0 meV/atom. Its formation energy is -0.837 eV per atom.

```
PmCuAs2
1.0
3.9771 0.0000 0.0000
0.0000 3.9771 0.0000
0.0000 0.0000 10.0635
Pm Cu As
2 2 4
Cartesian
0.9943 0.9943 2.3977 Pm
2.9828 2.9828 7.6658 Pm
0.9943 2.9828 5.0317 Cu
2.9828 0.9943 5.0317 Cu
0.9943 0.9943 6.5686 As
0.9943 2.9828 0.0000 As
2.9828 0.9943 0.0000 As
2.9828 2.9828 3.4949 As
```

A relaxed PmCu3As3 crystal. Source: Alexandria via LeMat-Bulk, functional PBE.

Calculated values
Its formation energy is -0.141 eV per atom.

```
PmCu3As3
1.0
6.5973 0.0000 0.0000
0.0000 6.5973 0.0000
0.0000 0.0000 6.5973
Pm Cu As
2 6 6
Cartesian
0.0000 0.0000 0.0000 Pm
3.2986 3.2986 3.2986 Pm
0.0000 1.6493 3.2986 Cu
0.0000 4.9479 3.2986 Cu
1.6493 3.2986 0.0000 Cu
3.2986 0.0000 1.6493 Cu
3.2986 0.0000 4.9479 Cu
4.9479 3.2986 0.0000 Cu
0.0000 3.2986 1.6493 As
0.0000 3.2986 4.9479 As
1.6493 0.0000 3.2986 As
3.2986 1.6493 0.0000 As
3.2986 4.9479 0.0000 As
4.9479 0.0000 3.2986 As
```

A relaxed PmCu2As2 crystal. Source: Alexandria via LeMat-Bulk, functional PBE.

Calculated values
For the excess energy over the best structure of this formula in the dataset, the calculation gives 0.0 meV/atom. Its formation energy is -0.632 eV per atom.

```
PmCu2As2
1.0
2.0079 -11.4767 0.0000
2.0079 11.4767 0.0000
0.0000 0.0000 3.9827
Pm Cu As
2 4 4
Cartesian
2.0079 8.0796 2.9870 Pm
2.0079 -8.0796 0.9957 Pm
2.0079 10.6648 0.9957 Cu
2.0079 0.8002 0.9957 Cu
2.0079 -0.8002 2.9870 Cu
2.0079 -10.6648 2.9870 Cu
2.0079 5.7400 0.9957 As
2.0079 2.2775 2.9870 As
2.0079 -2.2775 0.9957 As
2.0079 -5.7400 2.9870 As
```

A relaxed PmCuAsPt crystal. Source: Alexandria via LeMat-Bulk, functional PBE.

Calculated values
Its formation energy is -0.488 eV per atom.

```
PmCuAsPt
1.0
0.0000 3.3383 3.3383
3.3383 0.0000 3.3383
3.3383 3.3383 0.0000
Pm Cu As Pt
1 1 1 1
Cartesian
0.0000 0.0000 0.0000 Pm
1.6692 1.6692 1.6692 Cu
5.0075 5.0075 5.0075 As
3.3383 3.3383 3.3383 Pt
```

A relaxed PmPuCuAs crystal. Source: Alexandria via LeMat-Bulk, functional PBE.

Calculated values
Its formation energy is -0.483 eV per atom.

```
PmPuCuAs
1.0
0.0000 3.5696 3.5696
3.5696 0.0000 3.5696
3.5696 3.5696 0.0000
Pm Pu Cu As
1 1 1 1
Cartesian
0.0000 0.0000 0.0000 Pm
3.5696 3.5696 3.5696 Pu
5.3544 5.3544 5.3544 Cu
1.7848 1.7848 1.7848 As
```

A relaxed Pm2Cu3As4Rh crystal. Source: Alexandria via LeMat-Bulk, functional PBE.

Calculated values
Its formation energy is -0.641 eV per atom.

```
Pm2Cu3As4Rh
1.0
4.2815 0.0000 0.0000
0.0000 4.2815 0.0000
0.0000 0.0000 9.9209
Pm Cu As Rh
2 3 4 1
Cartesian
0.0000 2.1407 2.4240 Pm
2.1407 0.0000 7.4969 Pm
0.0000 0.0000 0.0000 Cu
0.0000 2.1407 6.2319 Cu
2.1407 0.0000 3.6890 Cu
0.0000 0.0000 4.9604 As
0.0000 2.1407 8.6078 As
2.1407 0.0000 1.3131 As
2.1407 2.1407 4.9604 As
2.1407 2.1407 0.0000 Rh
```

A relaxed PmCuAsRu crystal. Source: Alexandria via LeMat-Bulk, functional PBE.

Calculated values
Its formation energy is -0.083 eV per atom.

```
PmCuAsRu
1.0
0.0000 3.2862 3.2862
3.2862 0.0000 3.2862
3.2862 3.2862 0.0000
Pm Cu As Ru
1 1 1 1
Cartesian
0.0000 0.0000 0.0000 Pm
1.6431 1.6431 1.6431 Cu
3.2862 3.2862 3.2862 As
4.9293 4.9293 4.9293 Ru
```

A relaxed PmCuAsS crystal. Source: Alexandria via LeMat-Bulk, functional PBE.

Calculated values
The uncorrected formation energy is -934 meV/atom.

```
PmCuAsS
1.0
4.0858 0.0000 0.0000
0.0000 4.0858 0.0000
0.0000 0.0000 9.2792
Pm Cu As S
2 2 2 2
Cartesian
1.0215 1.0215 2.0204 Pm
3.0644 3.0644 7.2588 Pm
1.0215 3.0644 4.6396 Cu
3.0644 1.0215 4.6396 Cu
1.0215 1.0215 6.1092 As
3.0644 3.0644 3.1700 As
1.0215 3.0644 0.0000 S
3.0644 1.0215 0.0000 S
```

A relaxed PmCuSbAs crystal. Source: Alexandria via LeMat-Bulk, functional PBE.

Calculated values
The uncorrected formation energy is -260 meV/atom.

```
PmCuSbAs
1.0
0.0000 3.5394 3.5394
3.5394 0.0000 3.5394
3.5394 3.5394 0.0000
Pm Cu Sb As
1 1 1 1
Cartesian
0.0000 0.0000 0.0000 Pm
5.3090 5.3090 5.3090 Cu
3.5394 3.5394 3.5394 Sb
1.7697 1.7697 1.7697 As
```

A relaxed PmSmCuAs crystal. Source: Alexandria via LeMat-Bulk, functional PBE.

Calculated values
Its formation energy is -0.603 eV per atom.

```
PmSmCuAs
1.0
0.0000 3.5872 3.5872
3.5872 0.0000 3.5872
3.5872 3.5872 0.0000
Pm Sm Cu As
1 1 1 1
Cartesian
0.0000 0.0000 0.0000 Pm
3.5872 3.5872 3.5872 Sm
1.7936 1.7936 1.7936 Cu
5.3807 5.3807 5.3807 As
```

A relaxed TbPmCuAs crystal. Source: Alexandria via LeMat-Bulk, functional PBE.

Calculated values
Its formation energy is -0.594 eV per atom.

```
TbPmCuAs
1.0
0.0000 3.5581 3.5581
3.5581 0.0000 3.5581
3.5581 3.5581 0.0000
Tb Pm Cu As
1 1 1 1
Cartesian
0.0000 0.0000 0.0000 Tb
3.5581 3.5581 3.5581 Pm
5.3372 5.3372 5.3372 Cu
1.7791 1.7791 1.7791 As
```

A relaxed Pm8CuTe4As3 crystal. Source: Alexandria via LeMat-Bulk, functional PBE.

Calculated values
The uncorrected formation energy is -1332 meV/atom.

```
Pm8CuTe4As3
1.0
4.3156 2.4916 7.2123
-4.3156 2.4916 7.2123
0.0000 -4.9833 7.2123
Pm Cu Te As
8 1 4 3
Cartesian
0.0000 0.0000 5.1925 Pm
-2.1554 -1.2444 12.4376 Pm
0.0000 -2.4888 9.1994 Pm
-2.1554 1.2444 9.1994 Pm
2.1554 -1.2444 12.4376 Pm
0.0000 2.4888 12.4376 Pm
2.1554 1.2444 9.1994 Pm
0.0000 0.0000 16.4444 Pm
0.0000 0.0000 10.8185 Cu
0.0000 0.0000 0.0000 Te
-2.1578 -1.2458 7.2123 Te
-2.1578 1.2458 14.4246 Te
0.0000 2.4916 7.2123 Te
-4.3156 0.0000 10.8185 As
-2.1578 1.2458 3.6062 As
2.1578 1.2458 3.6062 As
```

A relaxed Pr4Cu5As7 crystal. Source: Alexandria via LeMat-Bulk, functional PBE.

Calculated values
Its formation energy is -0.745 eV per atom.

```
Pr4Cu5As7
1.0
-2.8135 2.8135 10.2562
2.8135 -2.8135 10.2562
2.8135 2.8135 -10.2562
Pr Cu As
4 5 7
Cartesian
1.4373 1.4373 -2.4705 Pr
1.3761 -1.3761 12.7268 Pr
1.3761 1.3761 7.7857 Pr
-1.3761 1.3761 12.7268 Pr
0.0000 0.0000 0.0000 Cu
2.8135 0.0000 5.1281 Cu
0.0000 0.0000 5.1467 Cu
0.0000 0.0000 15.3658 Cu
0.0000 2.8135 5.1281 Cu
2.8135 0.0000 0.0000 As
1.4281 -1.4281 6.6718 As
1.3854 1.3854 3.5844 As
0.0000 2.8135 0.0000 As
0.0000 0.0000 10.2562 As
-1.4281 1.4281 6.6718 As
1.4281 1.4281 13.8406 As
```

A relaxed Pr2CuAs crystal. Source: Alexandria via LeMat-Bulk, functional PBE.

Calculated values
For the excess energy over the best structure of this formula in the dataset, the calculation gives 0.0 meV/atom. Its formation energy is -0.640 eV per atom.

```
Pr2CuAs
1.0
5.0516 0.0000 0.0000
0.0000 5.0516 0.0000
0.0000 0.0000 3.8215
Pr Cu As
2 1 1
Cartesian
0.0000 2.5258 0.0000 Pr
2.5258 0.0000 0.0000 Pr
0.0000 0.0000 1.9107 Cu
2.5258 2.5258 1.9107 As
```

A relaxed PrCu3As2 crystal. Source: Alexandria via LeMat-Bulk, functional PBE.

Calculated values
Its formation energy is -0.320 eV per atom.

```
PrCu3As2
1.0
7.6931 -1.9980 0.0000
7.6931 1.9980 0.0000
-4.6038 0.0000 7.0498
Pr Cu As
2 6 4
Cartesian
1.4458 0.0000 0.9433 Pr
9.3366 0.0000 6.1065 Pr
-1.6288 0.0000 2.4946 Cu
12.4111 0.0000 4.5552 Cu
2.5617 0.0000 3.6923 Cu
4.4082 0.0000 0.8732 Cu
6.3741 0.0000 6.1766 Cu
8.2207 0.0000 3.3575 Cu
-0.3675 0.0000 4.7867 As
6.8016 0.0000 1.3668 As
3.9808 0.0000 5.6830 As
11.1499 0.0000 2.2631 As
```

A relaxed Pr2CuAs crystal. Source: Alexandria via LeMat-Bulk, functional PBE.

Calculated values
For the excess energy over the best structure of this formula in the dataset, the calculation gives 448.6 meV/atom. Its formation energy is -0.191 eV per atom.

```
Pr2CuAs
1.0
2.1252 1.2270 8.8614
-2.1252 1.2270 8.8614
0.0000 -2.4540 8.8614
Pr Cu As
2 1 1
Cartesian
0.0000 0.0000 2.8358 Pr
0.0000 0.0000 23.7483 Pr
0.0000 0.0000 0.0000 Cu
0.0000 0.0000 13.2921 As
```

A relaxed PrCuAs crystal. Source: Alexandria via LeMat-Bulk, functional PBE.

Calculated values
Its formation energy is -0.900 eV per atom.

```
PrCuAs
1.0
4.1660 0.0000 0.0000
-2.0830 3.6079 0.0000
0.0000 0.0000 4.2106
Pr Cu As
1 1 1
Cartesian
0.0000 0.0000 0.0000 Pr
0.0000 2.4052 2.1123 Cu
2.0830 1.2026 2.1037 As
```

A relaxed Pr2CuAs4 crystal. Source: Alexandria via LeMat-Bulk, functional PBE.

Calculated values
Its formation energy is -0.835 eV per atom.

```
Pr2CuAs4
1.0
4.0918 0.0000 0.0000
0.0000 4.0918 0.0000
0.0000 0.0000 9.5110
Pr Cu As
2 1 4
Cartesian
0.0000 2.0459 2.3229 Pr
2.0459 0.0000 7.1881 Pr
2.0459 2.0459 0.0000 Cu
0.0000 0.0000 4.7555 As
0.0000 2.0459 8.2521 As
2.0459 0.0000 1.2589 As
2.0459 2.0459 4.7555 As
```

A relaxed PrCu4As3 crystal. Source: Alexandria via LeMat-Bulk, functional PBE.

Calculated values
Its formation energy is -0.360 eV per atom.

```
PrCu4As3
1.0
4.0069 0.0000 0.0000
0.0000 4.0069 0.0000
0.0000 0.0000 8.7392
Pr Cu As
1 4 3
Cartesian
0.0000 0.0000 0.0000 Pr
0.0000 2.0034 2.8935 Cu
0.0000 2.0034 5.8457 Cu
2.0034 0.0000 2.8935 Cu
2.0034 0.0000 5.8457 Cu
0.0000 0.0000 4.3696 As
2.0034 2.0034 1.4673 As
2.0034 2.0034 7.2719 As
```

A relaxed PrCu3As3 crystal. Source: Alexandria via LeMat-Bulk, functional PBE.

Calculated values
Its formation energy is -0.188 eV per atom.

```
PrCu3As3
1.0
6.6084 0.0000 0.0000
0.0000 6.6084 0.0000
0.0000 0.0000 6.6084
Pr Cu As
2 6 6
Cartesian
0.0000 0.0000 0.0000 Pr
3.3042 3.3042 3.3042 Pr
0.0000 1.6521 3.3042 Cu
0.0000 4.9563 3.3042 Cu
1.6521 3.3042 0.0000 Cu
3.3042 0.0000 1.6521 Cu
3.3042 0.0000 4.9563 Cu
4.9563 3.3042 0.0000 Cu
0.0000 3.3042 1.6521 As
0.0000 3.3042 4.9563 As
1.6521 0.0000 3.3042 As
3.3042 1.6521 0.0000 As
3.3042 4.9563 0.0000 As
4.9563 0.0000 3.3042 As
```

A relaxed Pr2CuAs3Pt4 crystal. Source: Alexandria via LeMat-Bulk, functional PBE.

Calculated values
Its formation energy is -0.831 eV per atom.

```
Pr2CuAs3Pt4
1.0
4.4185 0.0000 0.0000
0.0000 4.4185 0.0000
0.0000 0.0000 9.9553
Pr Cu As Pt
2 1 3 4
Cartesian
0.0000 2.2092 2.4860 Pr
2.2092 0.0000 7.4694 Pr
0.0000 0.0000 4.9777 Cu
0.0000 2.2092 8.6207 As
2.2092 0.0000 1.3347 As
2.2092 2.2092 4.9777 As
0.0000 0.0000 0.0000 Pt
0.0000 2.2092 6.1675 Pt
2.2092 0.0000 3.7879 Pt
2.2092 2.2092 0.0000 Pt
```

A relaxed Pr2CuAs4Pt3 crystal. Source: Alexandria via LeMat-Bulk, functional PBE.

Calculated values
Its formation energy is -0.829 eV per atom.

```
Pr2CuAs4Pt3
1.0
4.4616 0.0000 0.0000
0.0000 4.4616 0.0000
0.0000 0.0000 9.9030
Pr Cu As Pt
2 1 4 3
Cartesian
0.0000 2.2308 2.4654 Pr
2.2308 0.0000 7.4376 Pr
2.2308 2.2308 0.0000 Cu
0.0000 0.0000 4.9515 As
0.0000 2.2308 8.6454 As
2.2308 0.0000 1.2577 As
2.2308 2.2308 4.9515 As
0.0000 0.0000 0.0000 Pt
0.0000 2.2308 6.1473 Pt
2.2308 0.0000 3.7557 Pt
```

A relaxed Pr2Cu3As4Rh crystal. Source: Alexandria via LeMat-Bulk, functional PBE.

Calculated values
Its formation energy is -0.654 eV per atom.

```
Pr2Cu3As4Rh
1.0
4.3203 0.0000 0.0000
0.0000 4.3203 0.0000
0.0000 0.0000 9.9118
Pr Cu As Rh
2 3 4 1
Cartesian
0.0000 2.1602 2.4299 Pr
2.1602 0.0000 7.4819 Pr
0.0000 0.0000 0.0000 Cu
0.0000 2.1602 6.2100 Cu
2.1602 0.0000 3.7018 Cu
0.0000 0.0000 4.9559 As
0.0000 2.1602 8.6149 As
2.1602 0.0000 1.2969 As
2.1602 2.1602 4.9559 As
2.1602 2.1602 0.0000 Rh
```